This record from the Alexandria database describes crystalline Ba2NaTl at its relaxed geometry. The functional is PBE.

**Density**: 4.2 g/cm³
**D(E_F)**: 2.8 states/eV/f.u.
**Total magnetic moment**: 0.0 μB per cell
**Formation enthalpy at 0 K**: -0.1130 eV/atom

Lattice parameters (Å, degrees): 4.4782 4.4782 11.7277 78.99 78.99 60.00
Last column: nearest neighbours and their distance in Å.
Sites, in units of the cell vectors:
1 Ba 0.0717 0.0717 0.7849  3 Tl 3.57
2 Ba 0.2614 0.2614 0.2158  3 Tl 3.57
3 Na 0.5004 0.5004 0.4989  6 Ba 4.14-4.17, 6 Na 4.48
4 Tl 0.6665 0.6665 0.0004  6 Ba 3.57